ZnAgHgAu: relaxed, PBE. Values from VASP.

Geometry as Quantum ESPRESSO input:
```
&SYSTEM
  ibrav = 0, nat = 4, ntyp = 4
/
ATOMIC_SPECIES
Zn 65.41 Zn.upf
Ag 107.87 Ag.upf
Hg 200.59 Hg.upf
Au 196.97 Au.upf
CELL_PARAMETERS angstrom
-2.0562 -4.1409 -0.8175
2.6238 -3.8497 -0.5821
0.0413 -3.3346 3.3048
ATOMIC_POSITIONS crystal
Zn 0.0000 0.0000 0.0000
Ag 0.2500 0.2500 0.2500
Hg 0.5000 0.5000 0.5000
Au 0.7500 0.7500 0.7500
```

Computed properties:
- space group = No. 216
- magnetization (μB per cell) = 0.000
- D(E_F) (states/eV per cell) = 1.6
- total DFT energy (no corrections) (eV/atom) = -1.8959